1.
# PBE-GGA CaBe2Pt, optimized geometry
# VASP energy	-3.77	eV/atom
# polymorph energy (0 for the lowest one)	0.6696	eV/atom
# total magnetic moment	0.000	μB/f.u.
# ΔE_f	0.100	eV/atom
data_CaBe2Pt
_cell_length_a 6.299
_cell_length_b 6.299
_cell_length_c 6.299
_cell_angle_alpha 90.00
_cell_angle_beta 90.00
_cell_angle_gamma 90.00
_symmetry_space_group_name_H-M 'F -4 3 m'
_symmetry_Int_Tables_number 216
_symmetry_space_group_name_Hall 'F -4 2 3'
loop_
_atom_site_label
_atom_site_type_symbol
_atom_site_fract_x
_atom_site_fract_y
_atom_site_fract_z
Ca1 Ca 0.000 0.000 0.000
Be1 Be 0.000 0.000 0.500
Be2 Be 0.250 0.250 0.750
Pt1 Pt 0.250 0.250 0.250



2.
# PBE-GGA CaBe2Pt, optimized geometry
# VASP energy	-4.40	eV/atom
# polymorph energy (0 for the lowest one)	0.0459	eV/atom
# total magnetic moment	0.000	μB/f.u.
# ΔE_f	-0.524	eV/atom
data_CaBe2Pt
_cell_length_a 6.904
_cell_length_b 4.000
_cell_length_c 5.602
_cell_angle_alpha 90.00
_cell_angle_beta 114.42
_cell_angle_gamma 90.00
_symmetry_space_group_name_H-M 'C 1 m 1'
_symmetry_Int_Tables_number 8
_symmetry_space_group_name_Hall 'C -2y'
loop_
_atom_site_label
_atom_site_type_symbol
_atom_site_fract_x
_atom_site_fract_y
_atom_site_fract_z
Ca1 Ca 0.000 0.000 0.000
Be1 Be 0.012 0.500 0.536
Be2 Be 0.323 0.500 0.471
Pt1 Pt 0.188 0.000 0.565



3.
# PBE-GGA Ca2BePt, optimized geometry
# VASP energy	-3.33	eV/atom
# total magnetic moment	0.000	μB/f.u.
# ΔE_f	0.113	eV/atom
data_Ca2BePt
_cell_length_a 7.895
_cell_length_b 7.895
_cell_length_c 5.807
_cell_angle_alpha 90.00
_cell_angle_beta 90.00
_cell_angle_gamma 90.00
_symmetry_space_group_name_H-M 'I -4 2 d'
_symmetry_Int_Tables_number 122
_symmetry_space_group_name_Hall 'I -4 2bw'
loop_
_atom_site_label
_atom_site_type_symbol
_atom_site_fract_x
_atom_site_fract_y
_atom_site_fract_z
Ca1 Ca 0.232 0.250 0.125
Be1 Be 0.000 0.000 0.500
Pt1 Pt 0.000 0.000 0.000



4.
# PBE-GGA CaBePt3, optimized geometry
# VASP energy	-5.21	eV/atom
# polymorph energy (0 for the lowest one)	0.2964	eV/atom
# total magnetic moment	0.000	μB/f.u.
# ΔE_f	-0.442	eV/atom
data_CaBePt3
_cell_length_a 4.4935
_cell_length_b 4.4935
_cell_length_c 9.1892
_cell_angle_alpha 90.00
_cell_angle_beta 90.00
_cell_angle_gamma 120.00
_symmetry_space_group_name_H-M 'P 63/m m c'
_symmetry_Int_Tables_number 194
_symmetry_space_group_name_Hall '-P 6c 2c'
loop_
_atom_site_label
_atom_site_type_symbol
_atom_site_fract_x
_atom_site_fract_y
_atom_site_fract_z
Ca1 Ca 0.3333 0.6667 0.2500
Be1 Be 0.0000 0.0000 0.0000
Pt1 Pt 0.0000 0.0000 0.2500
Pt2 Pt 0.3333 0.6667 0.5706



5.
# PBE-GGA CaBePt3, optimized geometry
# VASP energy	-5.18	eV/atom
# polymorph energy (0 for the lowest one)	0.3265	eV/atom
# total magnetic moment	0.000	μB/f.u.
# ΔE_f	-0.412	eV/atom
data_CaBePt3
_cell_length_a 5.3879
_cell_length_b 5.3879
_cell_length_c 21.9430
_cell_angle_alpha 90.00
_cell_angle_beta 90.00
_cell_angle_gamma 120.00
_symmetry_space_group_name_H-M 'R -3'
_symmetry_Int_Tables_number 148
_symmetry_space_group_name_Hall '-R 3'
loop_
_atom_site_label
_atom_site_type_symbol
_atom_site_fract_x
_atom_site_fract_y
_atom_site_fract_z
Ca1 Ca 0.0000 0.0000 0.1662
Be1 Be 0.0000 0.0000 0.3702
Pt1 Pt 0.0028 0.4386 0.3876



6.
# PBE-GGA CaBe2Pt, optimized geometry
# VASP energy	-4.43	eV/atom
# polymorph energy (0 for the lowest one)	0.0163	eV/atom
# total magnetic moment	0.000	μB/f.u.
# ΔE_f	-0.553	eV/atom
data_CaBe2Pt
_cell_length_a 3.9673
_cell_length_b 3.9673
_cell_length_c 14.8837
_cell_angle_alpha 90.00
_cell_angle_beta 90.00
_cell_angle_gamma 120.00
_symmetry_space_group_name_H-M 'R -3 m'
_symmetry_Int_Tables_number 166
_symmetry_space_group_name_Hall '-R 3 2"'
loop_
_atom_site_label
_atom_site_type_symbol
_atom_site_fract_x
_atom_site_fract_y
_atom_site_fract_z
Ca1 Ca 0.0000 0.0000 0.0000
Be1 Be 0.0000 0.0000 0.1860
Pt1 Pt 0.0000 0.0000 0.5000



7.
# PBE-GGA CaBePt3, optimized geometry
# VASP energy	-5.46	eV/atom
# polymorph energy (0 for the lowest one)	0.0515	eV/atom
# total magnetic moment	0.000	μB/f.u.
# ΔE_f	-0.687	eV/atom
data_CaBePt3
_cell_length_a 5.372
_cell_length_b 7.167
_cell_length_c 9.029
_cell_angle_alpha 90.00
_cell_angle_beta 90.00
_cell_angle_gamma 90.00
_symmetry_space_group_name_H-M 'I m m a'
_symmetry_Int_Tables_number 74
_symmetry_space_group_name_Hall '-I 2b 2'
loop_
_atom_site_label
_atom_site_type_symbol
_atom_site_fract_x
_atom_site_fract_y
_atom_site_fract_z
Ca1 Ca 0.000 0.000 0.000
Be1 Be 0.000 0.250 0.461
Pt1 Pt 0.000 0.064 0.664
Pt2 Pt 0.250 0.250 0.250



8.
# PBE-GGA CaBe2Pt, optimized geometry
# VASP energy	-4.12	eV/atom
# polymorph energy (0 for the lowest one)	0.3268	eV/atom
# total magnetic moment	0.000	μB/f.u.
# ΔE_f	-0.243	eV/atom
data_CaBe2Pt
_cell_length_a 3.232
_cell_length_b 3.593
_cell_length_c 5.750
_cell_angle_alpha 90.00
_cell_angle_beta 106.04
_cell_angle_gamma 90.00
_symmetry_space_group_name_H-M 'P 1 m 1'
_symmetry_Int_Tables_number 6
_symmetry_space_group_name_Hall 'P -2y'
loop_
_atom_site_label
_atom_site_type_symbol
_atom_site_fract_x
_atom_site_fract_y
_atom_site_fract_z
Ca1 Ca 0.000 0.000 0.000
Be1 Be 0.257 0.000 0.506
Be2 Be 0.351 0.500 0.701
Pt1 Pt 0.713 0.500 0.418



9.
# PBE-GGA Ca2BePt, optimized geometry
# VASP energy	-3.86	eV/atom
# total magnetic moment	0.000	μB/f.u.
# ΔE_f	-0.419	eV/atom
data_Ca2BePt
_cell_length_a 3.842
_cell_length_b 4.556
_cell_length_c 10.842
_cell_angle_alpha 90.00
_cell_angle_beta 90.00
_cell_angle_gamma 90.00
_symmetry_space_group_name_H-M 'I m m 2'
_symmetry_Int_Tables_number 44
_symmetry_space_group_name_Hall 'I 2 -2'
loop_
_atom_site_label
_atom_site_type_symbol
_atom_site_fract_x
_atom_site_fract_y
_atom_site_fract_z
Ca1 Ca 0.000 0.000 0.000
Ca2 Ca 0.000 0.500 0.229
Be1 Be 0.000 0.000 0.416
Pt1 Pt 0.000 0.500 0.818



10.
# PBE-GGA CaBePt3, optimized geometry
# VASP energy	-4.83	eV/atom
# polymorph energy (0 for the lowest one)	0.6810	eV/atom
# total magnetic moment	0.000	μB/f.u.
# ΔE_f	-0.057	eV/atom
data_CaBePt3
_cell_length_a 5.3727
_cell_length_b 5.3727
_cell_length_c 14.9779
_cell_angle_alpha 90.00
_cell_angle_beta 90.00
_cell_angle_gamma 120.00
_symmetry_space_group_name_H-M 'R 3 m'
_symmetry_Int_Tables_number 160
_symmetry_space_group_name_Hall 'R 3 -2"'
loop_
_atom_site_label
_atom_site_type_symbol
_atom_site_fract_x
_atom_site_fract_y
_atom_site_fract_z
Ca1 Ca 0.0000 0.0000 0.0000
Be1 Be 0.0000 0.0000 0.7352
Pt1 Pt 0.1701 0.3402 0.8342



11.
# PBE-GGA CaBePt3, optimized geometry
# VASP energy	-5.47	eV/atom
# polymorph energy (0 for the lowest one)	0.0377	eV/atom
# total magnetic moment	0.000	μB/f.u.
# ΔE_f	-0.700	eV/atom
data_CaBePt3
_cell_length_a 5.596
_cell_length_b 5.466
_cell_length_c 11.255
_cell_angle_alpha 90.00
_cell_angle_beta 90.00
_cell_angle_gamma 90.00
_symmetry_space_group_name_H-M 'A m m 2'
_symmetry_Int_Tables_number 38
_symmetry_space_group_name_Hall 'A 2 -2'
loop_
_atom_site_label
_atom_site_type_symbol
_atom_site_fract_x
_atom_site_fract_y
_atom_site_fract_z
Ca1 Ca 0.000 0.000 0.000
Ca2 Ca 0.500 0.000 0.181
Be1 Be 0.308 0.000 0.786
Pt1 Pt 0.000 0.238 0.263
Pt2 Pt 0.247 0.000 0.588
Pt3 Pt 0.500 0.247 0.419



12.
# PBE-GGA CaBe2Pt, optimized geometry
# VASP energy	-4.10	eV/atom
# polymorph energy (0 for the lowest one)	0.3459	eV/atom
# total magnetic moment	0.000	μB/f.u.
# ΔE_f	-0.224	eV/atom
data_CaBe2Pt
_cell_length_a 3.130
_cell_length_b 3.130
_cell_length_c 6.312
_cell_angle_alpha 90.00
_cell_angle_beta 90.00
_cell_angle_gamma 90.00
_symmetry_space_group_name_H-M 'P 4/m m m'
_symmetry_Int_Tables_number 123
_symmetry_space_group_name_Hall '-P 4 2'
loop_
_atom_site_label
_atom_site_type_symbol
_atom_site_fract_x
_atom_site_fract_y
_atom_site_fract_z
Ca1 Ca 0.000 0.000 0.000
Be1 Be 0.500 0.500 0.329
Pt1 Pt 0.000 0.000 0.500